P.
# YCu2Pd2

A geometry-optimized YCu2Pd2 structure (PBE, the Alexandria database).

Structure (POSCAR):
```
YCu2Pd2
1.0
-1.980 1.980 11.207
1.980 -1.980 11.207
1.980 1.980 -11.207
Y Cu Pd
2 4 4
Cartesian
0.000 0.000 2.861 Y
0.000 0.000 19.553 Y
1.980 0.000 0.000 Cu
0.000 0.000 7.194 Cu
0.000 1.980 0.000 Cu
0.000 0.000 15.220 Cu
1.980 0.000 5.604 Pd
0.000 0.000 9.619 Pd
0.000 0.000 12.796 Pd
0.000 1.980 5.604 Pd
```

Output
Symmetry: I4/mmm (139)
Total magnetic moment in μB per cell: 0.00

Q.
# YCu2Pd2

A geometry-optimized YCu2Pd2 structure (PBE, the Alexandria database).

Structure (POSCAR):
```
YCu2Pd2
1.0
7.349 0.000 0.000
0.000 7.349 0.000
0.000 0.000 3.070
Y Cu Pd
2 4 4
Cartesian
0.000 0.000 0.000 Y
3.674 3.674 0.000 Y
1.150 2.525 1.535 Cu
2.525 6.199 1.535 Cu
4.824 1.150 1.535 Cu
6.199 4.824 1.535 Cu
1.010 4.684 0.000 Pd
2.665 1.010 0.000 Pd
4.684 6.339 0.000 Pd
6.339 2.665 0.000 Pd
```

Output
Symmetry: P4/mbm (127)
Total magnetic moment in μB per cell: 0.00

Relative energies, in meV per atom, with the most stable structure set to zero: P 0; Q 62.

P.
# YCu2Pd2

A geometry-optimized YCu2Pd2 structure (PBE, the Alexandria database).

Structure (POSCAR):
```
YCu2Pd2
1.0
7.151 0.000 0.000
0.000 7.151 0.000
0.000 0.000 3.221
Y Cu Pd
2 4 4
Cartesian
0.000 0.000 0.000 Y
3.576 3.576 0.000 Y
0.866 2.709 0.000 Cu
2.709 6.285 0.000 Cu
4.442 0.866 0.000 Cu
6.285 4.442 0.000 Cu
1.231 4.807 1.610 Pd
2.344 1.231 1.610 Pd
4.807 5.920 1.610 Pd
5.920 2.344 1.610 Pd
```

Output
Symmetry: P4/mbm (127)
Total magnetic moment in μB per cell: 0.00

Q.
# YCu2Pd2

A geometry-optimized YCu2Pd2 structure (PBE, the Alexandria database).

Structure (POSCAR):
```
YCu2Pd2
1.0
-1.865 1.865 6.313
1.865 -1.865 6.313
1.865 1.865 -6.313
Y Cu Pd
1 2 2
Cartesian
0.000 0.000 0.000 Y
1.865 0.000 3.157 Cu
0.000 1.865 3.157 Cu
0.000 0.000 4.955 Pd
0.000 0.000 7.672 Pd
```

Output
Symmetry: I4/mmm (139)
Total magnetic moment in μB per cell: 0.00

Relative energies, in meV per atom, with the most stable structure set to zero: P 31; Q 0.

P.
# Y2Cu2Pd

A geometry-optimized Y2Cu2Pd structure (PBE, the Alexandria database).

Structure (POSCAR):
```
Y2Cu2Pd
1.0
5.142 -2.022 0.000
5.142 2.022 0.000
-4.380 0.000 9.825
Y Cu Pd
4 4 2
Cartesian
-1.353 0.000 3.332 Y
1.464 0.000 1.136 Y
4.438 0.000 8.688 Y
7.255 0.000 6.493 Y
1.804 0.000 4.389 Cu
4.407 0.000 1.051 Cu
1.495 0.000 8.774 Cu
4.099 0.000 5.436 Cu
-0.001 0.000 6.609 Pd
5.903 0.000 3.216 Pd
```

Output
Symmetry: C2/m (12)
Total magnetic moment in μB per cell: 0.00

Q.
# Y2Cu2Pd

A geometry-optimized Y2Cu2Pd structure (PBE, the Alexandria database).

Structure (POSCAR):
```
Y2Cu2Pd
1.0
-2.675 2.675 3.703
2.675 -2.675 3.703
2.675 2.675 -3.703
Y Cu Pd
2 2 1
Cartesian
2.675 0.000 1.852 Y
0.000 2.675 1.852 Y
0.000 0.000 1.113 Cu
0.000 0.000 6.293 Cu
0.000 0.000 3.703 Pd
```

Output
Symmetry: I4/mmm (139)
Total magnetic moment in μB per cell: 0.00

R.
# Y2Cu2Pd

A geometry-optimized Y2Cu2Pd structure (PBE, the Alexandria database).

Structure (POSCAR):
```
Y2Cu2Pd
1.0
7.173 0.000 0.000
0.000 7.173 0.000
0.000 0.000 3.875
Y Cu Pd
4 4 2
Cartesian
1.292 2.294 0.000 Y
2.294 5.881 0.000 Y
4.878 1.292 0.000 Y
5.881 4.878 0.000 Y
0.865 4.451 1.938 Cu
2.721 0.865 1.938 Cu
4.451 6.307 1.938 Cu
6.307 2.721 1.938 Cu
0.000 0.000 1.938 Pd
3.586 3.586 1.938 Pd
```

Output
Symmetry: P4/mbm (127)
Total magnetic moment in μB per cell: 0.00

S.
# Y2Cu2Pd

A geometry-optimized Y2Cu2Pd structure (PBE, the Alexandria database).

Structure (POSCAR):
```
Y2Cu2Pd
1.0
-1.746 1.746 8.395
1.746 -1.746 8.395
1.746 1.746 -8.395
Y Cu Pd
2 2 1
Cartesian
0.000 0.000 1.753 Y
0.000 0.000 15.037 Y
1.746 0.000 4.197 Cu
0.000 1.746 4.197 Cu
0.000 0.000 8.395 Pd
```

Output
Symmetry: I4/mmm (139)
Total magnetic moment in μB per cell: 0.00

Relative energies, in meV per atom, with the most stable structure set to zero: P 0; Q 229; R 47; S 157.